A crystal of Mg3AgO relaxed with PBEsol. Source: Alexandria via LeMat-Bulk, functional SCAN.

Summary:
- symmetry = Pm-3m
- total energy (eV/atom) = -10.132

Cell and atoms, written as POSCAR:
```
Mg3AgO
1.0
4.9563 0.0000 0.0000
0.0000 4.9563 0.0000
0.0000 0.0000 4.9563
Mg Ag O
3 1 1
direct
0.0000 0.0000 0.5000 Mg
0.0000 0.5000 0.0000 Mg
0.5000 0.0000 0.0000 Mg
0.0000 0.0000 0.0000 Ag
0.5000 0.5000 0.5000 O
```

A crystal of MgTiAgP3O12 relaxed with PBEsol. Source: Alexandria via LeMat-Bulk, functional SCAN.

Summary:
- symmetry = R3c
- total energy (eV/atom) = -11.103

Cell and atoms, written as POSCAR:
```
MgTiAgP3O12
1.0
4.3610 2.5178 6.7780
-4.3610 2.5178 6.7780
0.0000 -5.0356 6.7780
Mg Ti Ag P O
2 2 2 6 24
direct
0.0000 0.0000 0.0000 Mg
0.5000 0.5000 0.5000 Mg
0.3512 0.3512 0.3512 Ti
0.8512 0.8512 0.8512 Ti
0.1429 0.1429 0.1429 Ag
0.6429 0.6429 0.6429 Ag
0.0503 0.4478 0.7381 P
0.2381 0.9478 0.5503 P
0.4478 0.7381 0.0503 P
0.5503 0.2381 0.9478 P
0.7381 0.0503 0.4478 P
0.9478 0.5503 0.2381 P
0.0665 0.2529 0.8933 O
0.0798 0.9444 0.7447 O
0.1185 0.4906 0.3031 O
0.1701 0.9659 0.4035 O
0.2447 0.4444 0.5798 O
0.2529 0.8933 0.0665 O
0.3031 0.1185 0.4906 O
0.3933 0.7529 0.5665 O
0.4035 0.1701 0.9659 O
0.4444 0.5798 0.2447 O
0.4659 0.6701 0.9035 O
0.4906 0.3031 0.1185 O
0.5665 0.3933 0.7529 O
0.5798 0.2447 0.4444 O
0.6185 0.8031 0.9906 O
0.6701 0.9035 0.4659 O
0.7447 0.0798 0.9444 O
0.7529 0.5665 0.3933 O
0.8031 0.9906 0.6185 O
0.8933 0.0665 0.2529 O
0.9035 0.4659 0.6701 O
0.9444 0.7447 0.0798 O
0.9659 0.4035 0.1701 O
0.9906 0.6185 0.8031 O
```

A crystal of Mg2AgWO6 relaxed with PBEsol. Source: Alexandria via LeMat-Bulk, functional SCAN.

Summary:
- symmetry = P1
- relative energy among the computed polymorphs (meV per atom) = 0.0
- total energy (eV/atom) = -16.954

Cell and atoms, written as POSCAR:
```
Mg2AgWO6
1.0
5.1407 0.0000 0.0000
2.5515 4.6431 0.0000
0.0388 2.8326 4.7519
Mg Ag W O
2 1 1 6
direct
0.0000 0.0000 0.0000 Mg
0.4940 0.0017 0.4921 Mg
0.2154 0.5686 0.6306 Ag
0.7040 0.5921 0.1022 W
0.0734 0.4736 0.3054 O
0.3094 0.7997 0.8146 O
0.4316 0.7741 0.2953 O
0.6450 0.0194 0.8309 O
0.7468 0.1742 0.2623 O
0.8899 0.4765 0.8216 O
```

A crystal of Mg2AgWO6 relaxed with PBEsol. Source: Alexandria via LeMat-Bulk, functional SCAN.

Summary:
- symmetry = P2_1/c
- relative energy among the computed polymorphs (meV per atom) = 16.6
- total energy (eV/atom) = -16.938

Cell and atoms, written as POSCAR:
```
Mg2AgWO6
1.0
5.1203 0.0000 0.0000
0.0000 5.3049 0.0000
-4.9978 0.0000 8.2994
Mg Ag W O
4 2 2 12
direct
0.2116 0.0310 0.2154 Mg
0.2116 0.4690 0.7154 Mg
0.7884 0.5310 0.2846 Mg
0.7884 0.9690 0.7846 Mg
0.0000 0.0000 0.5000 Ag
0.0000 0.5000 0.0000 Ag
0.5000 0.0000 0.0000 W
0.5000 0.5000 0.5000 W
0.1513 0.1711 0.9711 O
0.1513 0.3289 0.4711 O
0.2141 0.7244 0.8767 O
0.2141 0.7756 0.3767 O
0.4491 0.1437 0.8061 O
0.4491 0.3563 0.3061 O
0.5509 0.6437 0.6939 O
0.5509 0.8563 0.1939 O
0.7859 0.2244 0.6233 O
0.7859 0.2756 0.1233 O
0.8487 0.6711 0.5289 O
0.8487 0.8289 0.0289 O
```

A crystal of MgAgOs2 relaxed with PBEsol. Source: Alexandria via LeMat-Bulk, functional SCAN.

Summary:
- symmetry = Pmm2
- total energy (eV/atom) = -44.844
- calculated formation energy (kJ/mol of atoms) = 17.5

Cell and atoms, written as POSCAR:
```
MgAgOs2
1.0
2.8015 0.0000 0.0000
0.0000 3.7976 0.0000
0.0000 0.0000 5.7754
Mg Ag Os
1 1 2
direct
0.0000 0.0000 0.0000 Mg
0.5000 0.5000 0.7694 Ag
0.0000 0.0000 0.4724 Os
0.5000 0.5000 0.2901 Os
```

A crystal of MgAgOs2 relaxed with PBEsol. Source: Alexandria via LeMat-Bulk, functional SCAN.

Summary:
- symmetry = Imm2
- total energy (eV/atom) = -44.524
- calculated formation energy (kJ/mol of atoms) = 48.3

Cell and atoms, written as POSCAR:
```
MgAgOs2
1.0
-1.4309 2.3294 4.6092
1.4309 -2.3294 4.6092
1.4309 2.3294 -4.6092
Mg Ag Os
1 1 2
direct
0.0000 0.0000 0.0000 Mg
0.7423 0.2423 0.5000 Ag
0.2580 0.7580 0.5000 Os
0.4826 0.4826 0.0000 Os
```